## PrNdTmSc (GGA-PBE)

Data for a relaxed structure of PrNdTmSc.

abc: 5.625 5.625 5.625
angles: 60.00 60.00 60.00
Positions (direct):
Nd1 0.750 0.750 0.750
Tm1 0.500 0.500 0.500
Pr1 0.250 0.250 0.250
Sc1 0.000 0.000 0.000

Properties
E above lowest polymorph   0.00 kJ per mole of atoms
Formation enthalpy at 0 K   88.4 meV per atom
Size of the total moment   0.0 Bohr magnetons per cell
Calculated total energy   -0.3674 Ry/atom